1.
# GdPa2Cr, optimized geometry, DFT PBE-GGA
data_GdPa2Cr
_chemical_formula_sum 'Gd1 Pa2 Cr1'
_symmetry_space_group_name_H-M 'P 1'
_symmetry_Int_Tables_number 1
_cell_length_a 10.6926
_cell_length_b 10.6926
_cell_length_c 10.6926
_cell_angle_alpha 17.13
_cell_angle_beta 17.13
_cell_angle_gamma 17.13
loop_
_symmetry_equiv_pos_as_xyz
'x,y,z'
loop_
_atom_site_label
_atom_site_fract_x
_atom_site_fract_y
_atom_site_fract_z
_atom_site_occupancy
Gd1 0.0000 0.0000 0.0000 1
Pa1 0.0997 0.0997 0.0997 1
Pa2 0.9003 0.9003 0.9003 1
Cr1 0.5000 0.5000 0.5000 1
# Energy relative to the elements (meV/atom): 512.1
# E_tot (eV per formula unit): -40.648
# Symmetry: R-3m
# Magnetic moment (μB/f.u.): 7.3
# Calculated volume (Å³/atom): 23.13

=====

2.
# GdCrPt4, optimized geometry, DFT PBE-GGA
data_GdCrPt4
_chemical_formula_sum 'Gd1 Cr1 Pt4'
_symmetry_space_group_name_H-M 'P 1'
_symmetry_Int_Tables_number 1
_cell_length_a 6.7460
_cell_length_b 6.7460
_cell_length_c 6.7460
_cell_angle_alpha 60.00
_cell_angle_beta 60.00
_cell_angle_gamma 60.00
loop_
_symmetry_equiv_pos_as_xyz
'x,y,z'
loop_
_atom_site_label
_atom_site_fract_x
_atom_site_fract_y
_atom_site_fract_z
_atom_site_occupancy
Gd1 0.0000 0.0000 0.0000 1
Cr1 0.7500 0.7500 0.7500 1
Pt1 0.1525 0.1525 0.1525 1
Pt2 0.1525 0.1525 0.5425 1
Pt3 0.1525 0.5425 0.1525 1
Pt4 0.5425 0.1525 0.1525 1
# Energy relative to the elements (meV/atom): 1343.5
# E_tot (eV per formula unit): -39.807
# Symmetry: F-43m
# Magnetic moment (μB/f.u.): 12.0
# Calculated volume (Å³/atom): 36.18